1.
Compound: LiInAgPd
Source: the Open Quantum Materials Database
Functional: PBE-GGA
Structure: optimized geometry

```
LiInAgPd
1.0
-2.1281 2.1281 3.7374
2.1281 -2.1281 3.7374
2.1281 2.1281 -3.7374
Pd In Ag Li
1 1 1 1
Direct
0.7500 0.2500 0.5000
0.0000 0.0000 0.0000
0.2500 0.7500 0.5000
0.5000 0.5000 0.0000
```

Properties
The energy above the most stable polymorph in this dataset comes out at 6 meV per atom.

---

2.
Compound: Be2CdPb
Source: the Open Quantum Materials Database
Functional: PBE-GGA
Structure: optimized geometry

```
Be2CdPb
1.0
-1.7520 -3.4795 2.7384
-3.2619 0.9987 3.3223
-4.5015 -1.4431 -0.5734
Be Cd Pb
2 1 1
Direct
0.7500 0.7500 0.7500
0.0000 0.0000 0.0000
0.2500 0.2500 0.2500
0.5000 0.5000 0.5000
```

Properties
The calculation puts the total energy at -0.0788 hartree per atom.

---

3.
Compound: NaZrGaPt
Source: the Open Quantum Materials Database
Functional: PBE-GGA
Structure: optimized geometry

```
NaZrGaPt
1.0
-4.1843 -1.9721 -0.8758
-3.1955 -0.3664 3.4380
-3.8819 2.6618 -0.1009
Pt Zr Na Ga
1 1 1 1
Direct
0.5000 0.5000 0.5000
0.2500 0.2500 0.2500
0.7500 0.7500 0.7500
0.0000 0.0000 0.0000
```

Properties
The energy above the most stable polymorph in this dataset comes out at 121 meV per atom.

---

4.
Compound: TaCdCoPb
Source: the Open Quantum Materials Database
Functional: PBE-GGA
Structure: optimized geometry

```
TaCdCoPb
1.0
0.0000 3.3441 3.3441
3.3441 0.0000 3.3441
3.3441 3.3441 0.0000
Co Pb Cd Ta
1 1 1 1
Direct
0.7500 0.7500 0.7500
0.0000 0.0000 0.0000
0.2500 0.2500 0.2500
0.5000 0.5000 0.5000
```

Properties
The energy above the most stable polymorph in this dataset comes out at 0 meV per atom.

---

5.
Compound: SmDyS2F2
Source: the Open Quantum Materials Database
Functional: PBE-GGA
Structure: optimized geometry

```
SmDyS2F2
1.0
-3.2715 0.4785 -1.8539
-1.9106 -1.0555 3.0991
-0.2248 6.4934 2.0729
F S Sm Dy
2 2 1 1
Direct
0.5000 0.0000 0.0036
0.0000 0.5000 0.0036
0.5000 0.5000 0.3528
0.0000 0.0000 0.6390
0.5000 0.5000 0.7716
0.0000 0.0000 0.2294
```

Properties
The calculation puts the total energy at -0.2408 hartree per atom.

---

6.
Compound: LiGa2Ni
Source: the Open Quantum Materials Database
Functional: PBE-GGA
Structure: optimized geometry

```
LiGa2Ni
1.0
-0.3455 -2.2953 -4.5282
-3.4795 -5.1419 2.8719
-5.9159 3.3164 -1.2297
Ga Ni Li
8 4 4
Direct
0.8972 0.0498 0.1736
0.3972 0.5498 0.3264
0.1028 0.9502 0.8264
0.1028 0.5498 0.8264
0.3972 0.9502 0.3264
0.8972 0.4502 0.1736
0.6028 0.0498 0.6736
0.6028 0.4502 0.6736
0.6274 0.2500 0.3746
0.8726 0.2500 0.8746
0.1274 0.7500 0.1254
0.3726 0.7500 0.6254
0.6124 0.7500 0.9698
0.1124 0.2500 0.5302
0.8876 0.7500 0.4698
0.3876 0.2500 0.0302
```

Properties
The energy above the most stable polymorph in this dataset comes out at 21 meV per atom.

---

7.
Compound: SmTaN2O
Source: the Open Quantum Materials Database
Functional: PBE-GGA
Structure: optimized geometry

```
SmTaN2O
1.0
-1.1031 -3.8121 -3.9954
4.0241 -3.6422 -1.5450
-1.9364 -8.3493 4.6207
N Ta Sm O
8 4 4 4
Direct
0.3955 0.9030 0.9003
0.1463 0.6572 0.1545
0.1064 0.5793 0.6029
0.3633 0.8449 0.3434
0.0248 0.2267 0.1237
0.5282 0.7172 0.6276
0.6616 0.1426 0.6480
0.9136 0.3934 0.4065
0.2278 0.2593 0.2554
0.4920 0.5211 0.5033
0.0153 0.9973 0.0097
0.7398 0.7685 0.7422
0.6050 0.6514 0.1260
0.3903 0.3633 0.8715
0.8922 0.8599 0.3807
0.1049 0.1454 0.6294
0.4955 0.2745 0.3609
0.9679 0.7586 0.8824
0.5922 0.1021 0.0853
0.8373 0.3345 0.8463
```

Properties
The calculation puts the total energy at -0.3516 hartree per atom.

---

8.
Compound: Al2CdCu
Source: the Open Quantum Materials Database
Functional: PBE-GGA
Structure: optimized geometry

```
Al2CdCu
1.0
1.3117 0.7319 4.3249
-1.6391 3.5958 2.3119
-2.9632 -0.6417 3.4306
Cu Cd Al
1 1 2
Direct
0.2500 0.2500 0.2500
0.5000 0.5000 0.5000
0.0000 0.0000 0.0000
0.7500 0.7500 0.7500
```

Properties
The calculation puts the total energy at -0.1037 hartree per atom.